# GGA-PBE CeCdPdO4, optimized geometry
data_CeCdPdO4
_symmetry_space_group_name_H-M 'P 1'
_symmetry_Int_Tables_number 1
_symmetry_space_group_name_Hall 'P 1'
_cell_length_a 6.911
_cell_length_b 6.911
_cell_length_c 6.911
_cell_angle_alpha 126.62
_cell_angle_beta 120.26
_cell_angle_gamma 84.23
loop_
_atom_site_label
_atom_site_type_symbol
_atom_site_fract_x
_atom_site_fract_y
_atom_site_fract_z
Ce1 Ce 0.000 0.000 0.000
Ce2 Ce 0.500 0.000 0.500
Cd1 Cd 0.426 0.676 0.750
Cd2 Cd 0.574 0.324 0.250
Pd1 Pd 0.000 0.000 0.500
Pd2 Pd 0.000 0.500 0.000
O1 O 0.173 0.227 0.946
O2 O 0.219 0.773 0.446
O3 O 0.300 0.267 0.468
O4 O 0.300 0.832 0.032
O5 O 0.700 0.168 0.968
O6 O 0.700 0.733 0.532
O7 O 0.781 0.227 0.554
O8 O 0.827 0.773 0.054
# Size of the total moment in Bohr magnetons per cell: 0.0
# Crystal system: orthorhombic
# Raw formation energy in eV per atom: -1.750

---

# GGA-PBE CeCdPtO6, optimized geometry
data_CeCdPtO6
_symmetry_space_group_name_H-M 'P 1'
_symmetry_Int_Tables_number 1
_symmetry_space_group_name_Hall 'P 1'
_cell_length_a 5.611
_cell_length_b 5.611
_cell_length_c 9.156
_cell_angle_alpha 90.00
_cell_angle_beta 90.00
_cell_angle_gamma 120.00
loop_
_atom_site_label
_atom_site_type_symbol
_atom_site_fract_x
_atom_site_fract_y
_atom_site_fract_z
Ce1 Ce 0.333 0.667 0.250
Ce2 Ce 0.667 0.333 0.750
Cd1 Cd 0.000 0.000 0.000
Cd2 Cd 0.000 0.000 0.500
Pt1 Pt 0.333 0.667 0.750
Pt2 Pt 0.667 0.333 0.250
O1 O 0.034 0.373 0.631
O2 O 0.034 0.661 0.869
O3 O 0.339 0.373 0.869
O4 O 0.339 0.966 0.631
O5 O 0.373 0.034 0.131
O6 O 0.373 0.339 0.369
O7 O 0.627 0.661 0.631
O8 O 0.627 0.966 0.869
O9 O 0.661 0.034 0.369
O10 O 0.661 0.627 0.131
O11 O 0.966 0.339 0.131
O12 O 0.966 0.627 0.369
# Size of the total moment in Bohr magnetons per cell: 0.0
# Crystal system: trigonal
# Raw formation energy in eV per atom: -1.370

---

# GGA-PBE Rb2CeCdO4, optimized geometry
data_Rb2CeCdO4
_symmetry_space_group_name_H-M 'P 1'
_symmetry_Int_Tables_number 1
_symmetry_space_group_name_Hall 'P 1'
_cell_length_a 6.092
_cell_length_b 3.587
_cell_length_c 6.906
_cell_angle_alpha 90.00
_cell_angle_beta 108.69
_cell_angle_gamma 90.00
loop_
_atom_site_label
_atom_site_type_symbol
_atom_site_fract_x
_atom_site_fract_y
_atom_site_fract_z
Rb1 Rb 0.000 0.000 0.000
Rb2 Rb 0.500 0.500 0.000
Ce1 Ce 0.000 0.500 0.500
Cd1 Cd 0.500 0.000 0.500
O1 O 0.202 0.000 0.687
O2 O 0.256 0.500 0.323
O3 O 0.744 0.500 0.677
O4 O 0.798 0.000 0.313
# Size of the total moment in Bohr magnetons per cell: 0.0
# Crystal system: monoclinic
# Raw formation energy in eV per atom: -2.006

---

# GGA-PBE Rb3Ce3CdO8, optimized geometry
data_Rb3Ce3CdO8
_symmetry_space_group_name_H-M 'P 1'
_symmetry_Int_Tables_number 1
_symmetry_space_group_name_Hall 'P 1'
_cell_length_a 7.765
_cell_length_b 7.765
_cell_length_c 7.765
_cell_angle_alpha 54.82
_cell_angle_beta 54.82
_cell_angle_gamma 54.82
loop_
_atom_site_label
_atom_site_type_symbol
_atom_site_fract_x
_atom_site_fract_y
_atom_site_fract_z
Rb1 Rb 0.000 0.500 0.500
Rb2 Rb 0.500 0.000 0.500
Rb3 Rb 0.500 0.500 0.000
Ce1 Ce 0.000 0.000 0.500
Ce2 Ce 0.000 0.500 0.000
Ce3 Ce 0.500 0.000 0.000
Cd1 Cd 0.500 0.500 0.500
O1 O 0.209 0.730 0.730
O2 O 0.226 0.226 0.226
O3 O 0.270 0.270 0.791
O4 O 0.270 0.791 0.270
O5 O 0.730 0.209 0.730
O6 O 0.730 0.730 0.209
O7 O 0.774 0.774 0.774
O8 O 0.791 0.270 0.270
# Size of the total moment in Bohr magnetons per cell: 1.1
# Crystal system: trigonal
# Raw formation energy in eV per atom: -2.448

---

# GGA-PBE Rb3CeCd2O6, optimized geometry
data_Rb3CeCd2O6
_symmetry_space_group_name_H-M 'P 1'
_symmetry_Int_Tables_number 1
_symmetry_space_group_name_Hall 'P 1'
_cell_length_a 6.138
_cell_length_b 6.138
_cell_length_c 6.805
_cell_angle_alpha 97.76
_cell_angle_beta 97.76
_cell_angle_gamma 121.32
loop_
_atom_site_label
_atom_site_type_symbol
_atom_site_fract_x
_atom_site_fract_y
_atom_site_fract_z
Rb1 Rb 0.000 0.000 0.000
Rb2 Rb 0.326 0.674 0.000
Rb3 Rb 0.674 0.326 0.000
Ce1 Ce 0.500 0.500 0.500
Cd1 Cd 0.167 0.833 0.500
Cd2 Cd 0.833 0.167 0.500
O1 O 0.112 0.430 0.316
O2 O 0.250 0.250 0.692
O3 O 0.430 0.112 0.316
O4 O 0.570 0.888 0.684
O5 O 0.750 0.750 0.308
O6 O 0.888 0.570 0.684
# Size of the total moment in Bohr magnetons per cell: 1.1
# Crystal system: monoclinic
# Raw formation energy in eV per atom: -1.614

---

# GGA-PBE CeCdSbO6, optimized geometry
data_CeCdSbO6
_symmetry_space_group_name_H-M 'P 1'
_symmetry_Int_Tables_number 1
_symmetry_space_group_name_Hall 'P 1'
_cell_length_a 5.067
_cell_length_b 5.067
_cell_length_c 10.198
_cell_angle_alpha 90.00
_cell_angle_beta 90.00
_cell_angle_gamma 90.00
loop_
_atom_site_label
_atom_site_type_symbol
_atom_site_fract_x
_atom_site_fract_y
_atom_site_fract_z
Ce1 Ce 0.000 0.000 0.000
Ce2 Ce 0.500 0.500 0.500
Cd1 Cd 0.000 0.000 0.330
Cd2 Cd 0.500 0.500 0.830
Sb1 Sb 0.000 0.000 0.664
Sb2 Sb 0.500 0.500 0.164
O1 O 0.182 0.182 0.815
O2 O 0.188 0.188 0.518
O3 O 0.219 0.219 0.158
O4 O 0.281 0.719 0.658
O5 O 0.312 0.688 0.018
O6 O 0.318 0.682 0.315
O7 O 0.682 0.318 0.315
O8 O 0.688 0.312 0.018
O9 O 0.719 0.281 0.658
O10 O 0.781 0.781 0.158
O11 O 0.812 0.812 0.518
O12 O 0.818 0.818 0.815
# Size of the total moment in Bohr magnetons per cell: 2.0
# Crystal system: tetragonal
# Raw formation energy in eV per atom: -1.782

---

# GGA-PBE Ce2CdSe2O2, optimized geometry
data_Ce2CdSe2O2
_symmetry_space_group_name_H-M 'P 1'
_symmetry_Int_Tables_number 1
_symmetry_space_group_name_Hall 'P 1'
_cell_length_a 3.997
_cell_length_b 3.997
_cell_length_c 18.909
_cell_angle_alpha 90.00
_cell_angle_beta 90.00
_cell_angle_gamma 90.00
loop_
_atom_site_label
_atom_site_type_symbol
_atom_site_fract_x
_atom_site_fract_y
_atom_site_fract_z
Ce1 Ce 0.250 0.250 0.065
Ce2 Ce 0.250 0.250 0.565
Ce3 Ce 0.750 0.750 0.435
Ce4 Ce 0.750 0.750 0.935
Cd1 Cd 0.250 0.750 0.250
Cd2 Cd 0.750 0.250 0.750
Se1 Se 0.250 0.250 0.347
Se2 Se 0.250 0.250 0.847
Se3 Se 0.750 0.750 0.153
Se4 Se 0.750 0.750 0.653
O1 O 0.250 0.750 0.001
O2 O 0.250 0.750 0.499
O3 O 0.750 0.250 0.501
O4 O 0.750 0.250 0.999
# Size of the total moment in Bohr magnetons per cell: 4.0
# Crystal system: tetragonal
# Raw formation energy in eV per atom: -2.269

---

# GGA-PBE CeCd2TcO6, optimized geometry
data_CeCd2TcO6
_symmetry_space_group_name_H-M 'P 1'
_symmetry_Int_Tables_number 1
_symmetry_space_group_name_Hall 'P 1'
_cell_length_a 5.879
_cell_length_b 5.879
_cell_length_c 4.512
_cell_angle_alpha 90.00
_cell_angle_beta 90.00
_cell_angle_gamma 90.00
loop_
_atom_site_label
_atom_site_type_symbol
_atom_site_fract_x
_atom_site_fract_y
_atom_site_fract_z
Ce1 Ce 0.000 0.000 0.000
Cd1 Cd 0.000 0.500 0.355
Cd2 Cd 0.500 0.000 0.355
Tc1 Tc 0.500 0.500 0.951
O1 O 0.000 0.000 0.523
O2 O 0.278 0.278 0.088
O3 O 0.278 0.722 0.088
O4 O 0.500 0.500 0.573
O5 O 0.722 0.278 0.088
O6 O 0.722 0.722 0.088
# Size of the total moment in Bohr magnetons per cell: 0.4
# Crystal system: tetragonal
# Raw formation energy in eV per atom: -1.603

---

# GGA-PBE CeCdTcO6, optimized geometry
data_CeCdTcO6
_symmetry_space_group_name_H-M 'P 1'
_symmetry_Int_Tables_number 1
_symmetry_space_group_name_Hall 'P 1'
_cell_length_a 5.587
_cell_length_b 5.587
_cell_length_c 9.255
_cell_angle_alpha 90.00
_cell_angle_beta 90.00
_cell_angle_gamma 120.00
loop_
_atom_site_label
_atom_site_type_symbol
_atom_site_fract_x
_atom_site_fract_y
_atom_site_fract_z
Ce1 Ce 0.333 0.667 0.250
Ce2 Ce 0.667 0.333 0.750
Cd1 Cd 0.000 0.000 0.000
Cd2 Cd 0.000 0.000 0.500
Tc1 Tc 0.333 0.667 0.750
Tc2 Tc 0.667 0.333 0.250
O1 O 0.042 0.380 0.635
O2 O 0.042 0.662 0.865
O3 O 0.338 0.380 0.865
O4 O 0.338 0.958 0.635
O5 O 0.380 0.042 0.135
O6 O 0.380 0.338 0.365
O7 O 0.620 0.662 0.635
O8 O 0.620 0.958 0.865
O9 O 0.662 0.042 0.365
O10 O 0.662 0.620 0.135
O11 O 0.958 0.338 0.135
O12 O 0.958 0.620 0.365
# Size of the total moment in Bohr magnetons per cell: 1.7
# Crystal system: trigonal
# Raw formation energy in eV per atom: -1.865

---

# GGA-PBE CeCdTeO6, optimized geometry
data_CeCdTeO6
_symmetry_space_group_name_H-M 'P 1'
_symmetry_Int_Tables_number 1
_symmetry_space_group_name_Hall 'P 1'
_cell_length_a 5.674
_cell_length_b 5.674
_cell_length_c 9.311
_cell_angle_alpha 90.00
_cell_angle_beta 90.00
_cell_angle_gamma 120.00
loop_
_atom_site_label
_atom_site_type_symbol
_atom_site_fract_x
_atom_site_fract_y
_atom_site_fract_z
Ce1 Ce 0.333 0.667 0.250
Ce2 Ce 0.667 0.333 0.750
Cd1 Cd 0.000 0.000 0.000
Cd2 Cd 0.000 0.000 0.500
Te1 Te 0.333 0.667 0.750
Te2 Te 0.667 0.333 0.250
O1 O 0.042 0.380 0.635
O2 O 0.042 0.662 0.865
O3 O 0.338 0.380 0.865
O4 O 0.338 0.958 0.635
O5 O 0.380 0.042 0.135
O6 O 0.380 0.338 0.365
O7 O 0.620 0.662 0.635
O8 O 0.620 0.958 0.865
O9 O 0.662 0.042 0.365
O10 O 0.662 0.620 0.135
O11 O 0.958 0.338 0.135
O12 O 0.958 0.620 0.365
# Size of the total moment in Bohr magnetons per cell: 0.0
# Crystal system: trigonal
# Raw formation energy in eV per atom: -1.741

---

# GGA-PBE CeUCdO6, optimized geometry
data_CeUCdO6
_symmetry_space_group_name_H-M 'P 1'
_symmetry_Int_Tables_number 1
_symmetry_space_group_name_Hall 'P 1'
_cell_length_a 5.637
_cell_length_b 5.637
_cell_length_c 9.893
_cell_angle_alpha 90.00
_cell_angle_beta 90.00
_cell_angle_gamma 120.00
loop_
_atom_site_label
_atom_site_type_symbol
_atom_site_fract_x
_atom_site_fract_y
_atom_site_fract_z
Ce1 Ce 0.000 0.000 0.000
Ce2 Ce 0.000 0.000 0.500
U1 U 0.333 0.667 0.250
U2 U 0.667 0.333 0.750
Cd1 Cd 0.333 0.667 0.750
Cd2 Cd 0.667 0.333 0.250
O1 O 0.034 0.350 0.131
O2 O 0.034 0.684 0.369
O3 O 0.316 0.350 0.369
O4 O 0.316 0.966 0.131
O5 O 0.350 0.034 0.631
O6 O 0.350 0.316 0.869
O7 O 0.650 0.684 0.131
O8 O 0.650 0.966 0.369
O9 O 0.684 0.034 0.869
O10 O 0.684 0.650 0.631
O11 O 0.966 0.316 0.631
O12 O 0.966 0.650 0.869
# Size of the total moment in Bohr magnetons per cell: 0.0
# Crystal system: trigonal
# Raw formation energy in eV per atom: -2.698